[1]
First-principles (PBE) data for Y2InPC after structural relaxation, as listed in Alexandria.

a = 5.213 Å, b = 5.213 Å, c = 4.833 Å
α = 90.00°, β = 90.00°, γ = 90.00°
Element x y z (fractional)
1 Y 0.000 0.500 0.000
2 Y 0.500 0.000 0.000
3 In 0.000 0.000 0.500
4 P 0.000 0.000 0.000
5 C 0.500 0.500 0.500

Values from the calculation:
DOS at the Fermi energy   0.52 states/eV per atom
Total energy   -5.2654 eV/atom

=====

[2]
First-principles (PBE) data for Li3Sn5Hg12 after structural relaxation, as listed in Alexandria.

a = 14.511 Å, b = 14.511 Å, c = 14.511 Å
α = 109.47°, β = 109.47°, γ = 109.47°
Element x y z (fractional)
1 Li 0.125 0.250 0.375
2 Li 0.125 0.375 0.750
3 Li 0.250 0.375 0.125
4 Li 0.250 0.875 0.625
5 Li 0.375 0.125 0.250
6 Li 0.375 0.750 0.125
7 Li 0.625 0.250 0.875
8 Li 0.625 0.875 0.750
9 Li 0.750 0.125 0.375
10 Li 0.750 0.625 0.875
11 Li 0.875 0.625 0.250
12 Li 0.875 0.750 0.625
13 Sn 0.000 0.000 0.000
14 Sn 0.000 0.000 0.500
15 Sn 0.000 0.500 0.000
16 Sn 0.000 0.500 0.500
17 Sn 0.125 0.750 0.875
18 Sn 0.125 0.875 0.250
19 Sn 0.250 0.125 0.875
20 Sn 0.250 0.625 0.375
21 Sn 0.375 0.250 0.625
22 Sn 0.375 0.625 0.750
23 Sn 0.500 0.000 0.000
24 Sn 0.500 0.000 0.500
25 Sn 0.500 0.500 0.000
26 Sn 0.500 0.500 0.500
27 Sn 0.625 0.375 0.250
28 Sn 0.625 0.750 0.375
29 Sn 0.750 0.375 0.625
30 Sn 0.750 0.875 0.125
31 Sn 0.875 0.125 0.750
32 Sn 0.875 0.250 0.125
33 Hg 0.069 0.639 0.401
34 Hg 0.069 0.930 0.667
35 Hg 0.070 0.238 0.139
36 Hg 0.070 0.333 0.931
37 Hg 0.099 0.738 0.667
38 Hg 0.099 0.861 0.431
39 Hg 0.139 0.070 0.238
40 Hg 0.139 0.569 0.901
41 Hg 0.167 0.238 0.599
42 Hg 0.167 0.430 0.569
43 Hg 0.238 0.139 0.070
44 Hg 0.238 0.599 0.167
45 Hg 0.262 0.333 0.901
46 Hg 0.262 0.430 0.361
47 Hg 0.333 0.901 0.262
48 Hg 0.333 0.931 0.070
49 Hg 0.361 0.262 0.430
50 Hg 0.361 0.599 0.931
51 Hg 0.401 0.069 0.639
52 Hg 0.401 0.833 0.762
53 Hg 0.430 0.361 0.262
54 Hg 0.430 0.569 0.167
55 Hg 0.431 0.099 0.861
56 Hg 0.431 0.833 0.570
57 Hg 0.569 0.167 0.430
58 Hg 0.569 0.901 0.139
59 Hg 0.570 0.431 0.833
60 Hg 0.570 0.639 0.738
61 Hg 0.599 0.167 0.238
62 Hg 0.599 0.931 0.361
63 Hg 0.639 0.401 0.069
64 Hg 0.639 0.738 0.570
65 Hg 0.667 0.069 0.930
66 Hg 0.667 0.099 0.738
67 Hg 0.738 0.570 0.639
68 Hg 0.738 0.667 0.099
69 Hg 0.762 0.401 0.833
70 Hg 0.762 0.861 0.930
71 Hg 0.833 0.570 0.431
72 Hg 0.833 0.762 0.401
73 Hg 0.861 0.431 0.099
74 Hg 0.861 0.930 0.762
75 Hg 0.901 0.139 0.569
76 Hg 0.901 0.262 0.333
77 Hg 0.930 0.667 0.069
78 Hg 0.930 0.762 0.861
79 Hg 0.931 0.070 0.333
80 Hg 0.931 0.361 0.599

Values from the calculation:
DOS at the Fermi energy   0.39 states/eV per atom
Total energy   -1.3733 eV/atom

=====

[3]
First-principles (PBE) data for CePuO3 after structural relaxation, as listed in Alexandria.

a = 6.157 Å, b = 6.157 Å, c = 3.158 Å
α = 90.00°, β = 90.00°, γ = 120.00°
Element x y z (fractional)
1 Ce 0.000 0.000 0.000
2 Pu 0.333 0.667 0.000
3 O 0.167 0.333 0.500
4 O 0.167 0.833 0.500
5 O 0.667 0.833 0.500

Values from the calculation:
ΔE_f (raw)   -14.808 eV/f.u.
DOS at the Fermi energy   2.28 states/eV per atom

=====

[4]
First-principles (PBE) data for ScHgI3 after structural relaxation, as listed in Alexandria.

a = 8.106 Å, b = 8.106 Å, c = 8.106 Å
α = 60.59°, β = 60.59°, γ = 60.59°
Element x y z (fractional)
1 Sc 0.000 0.000 0.000
2 Sc 0.500 0.500 0.500
3 Hg 0.250 0.250 0.250
4 Hg 0.750 0.750 0.750
5 I 0.206 0.750 0.294
6 I 0.250 0.706 0.794
7 I 0.294 0.206 0.750
8 I 0.706 0.794 0.250
9 I 0.750 0.294 0.206
10 I 0.794 0.250 0.706

Values from the calculation:
ΔE_f (raw)   -4.039 eV/f.u.
DOS at the Fermi energy   0.00 states/eV per atom
Excess energy over the best structure of this formula in the dataset   164 meV per atom

=====

[5]
First-principles (PBE) data for SbI3F after structural relaxation, as listed in Alexandria.

a = 5.309 Å, b = 5.309 Å, c = 5.309 Å
α = 90.00°, β = 90.00°, γ = 90.00°
Element x y z (fractional)
1 Sb 0.000 0.000 0.000
2 I 0.000 0.500 0.500
3 I 0.500 0.000 0.500
4 I 0.500 0.500 0.000
5 F 0.500 0.500 0.500

Values from the calculation:
ΔE_f (raw)   1.595 eV/f.u.
DOS at the Fermi energy   1.14 states/eV per atom
Excess energy over the best structure of this formula in the dataset   1020 meV per atom

=====

[6]
First-principles (PBE) data for YGaPd after structural relaxation, as listed in Alexandria.

a = 5.575 Å, b = 5.575 Å, c = 5.575 Å
α = 144.02°, β = 144.02°, γ = 51.80°
Element x y z (fractional)
1 Y 0.000 0.000 0.000
2 Ga 0.691 0.691 0.000
3 Pd 0.307 0.307 0.000

Values from the calculation:
DOS at the Fermi energy   0.52 states/eV per atom
Total energy   -5.5950 eV/atom

=====

[7]
First-principles (PBE) data for Pu4InBi after structural relaxation, as listed in Alexandria.

a = 6.230 Å, b = 6.230 Å, c = 6.230 Å
α = 130.30°, β = 114.77°, γ = 86.23°
Element x y z (fractional)
1 Pu 0.082 0.833 0.249
2 Pu 0.416 0.167 0.249
3 Pu 0.584 0.833 0.751
4 Pu 0.918 0.167 0.751
5 In 0.000 0.500 0.500
6 Bi 0.500 0.500 0.000

Values from the calculation:
DOS at the Fermi energy   3.29 states/eV per atom
Total energy   -10.7056 eV/atom

=====

[8]
First-principles (PBE) data for Ac2CePb2 after structural relaxation, as listed in Alexandria.

a = 8.675 Å, b = 8.675 Å, c = 8.675 Å
α = 117.44°, β = 80.93°, γ = 134.18°
Element x y z (fractional)
1 Ac 0.144 0.144 0.288
2 Ac 0.356 0.644 0.001
3 Ac 0.644 0.356 0.999
4 Ac 0.856 0.856 0.712
5 Ce 0.250 0.750 0.500
6 Ce 0.750 0.250 0.500
7 Pb 0.114 0.764 0.878
8 Pb 0.386 0.264 0.650
9 Pb 0.614 0.736 0.350
10 Pb 0.886 0.236 0.122

Values from the calculation:
DOS at the Fermi energy   1.56 states/eV per atom
Total energy   -4.6440 eV/atom

=====

[9]
First-principles (PBE) data for K2HfUN4 after structural relaxation, as listed in Alexandria.

a = 5.791 Å, b = 3.461 Å, c = 6.698 Å
α = 90.00°, β = 106.76°, γ = 90.00°
Element x y z (fractional)
1 K 0.000 0.000 0.000
2 K 0.500 0.500 0.000
3 Hf 0.000 0.500 0.500
4 U 0.500 0.000 0.500
5 N 0.230 0.000 0.664
6 N 0.281 0.500 0.336
7 N 0.719 0.500 0.664
8 N 0.770 0.000 0.336

Values from the calculation:
ΔE_f (raw)   -8.551 eV/f.u.

=====

[10]
First-principles (PBE) data for LaRuCl after structural relaxation, as listed in Alexandria.

a = 4.891 Å, b = 4.891 Å, c = 4.891 Å
α = 60.00°, β = 60.00°, γ = 60.00°
Element x y z (fractional)
1 La 0.000 0.000 0.000
2 Ru 0.250 0.250 0.250
3 Cl 0.750 0.750 0.750

Values from the calculation:
ΔE_f (raw)   0.264 eV/f.u.
DOS at the Fermi energy   1.08 states/eV per atom
Excess energy over the best structure of this formula in the dataset   1246 meV per atom

=====

[11]
First-principles (PBE) data for NdPuTlPb after structural relaxation, as listed in Alexandria.

a = 5.508 Å, b = 5.508 Å, c = 5.508 Å
α = 60.00°, β = 60.00°, γ = 60.00°
Element x y z (fractional)
1 Nd 0.000 0.000 0.000
2 Pu 0.500 0.500 0.500
3 Tl 0.750 0.750 0.750
4 Pb 0.250 0.250 0.250

Values from the calculation:
DOS at the Fermi energy   2.97 states/eV per atom
Total energy   -6.5109 eV/atom

=====

[12]
First-principles (PBE) data for NaEuHoIn after structural relaxation, as listed in Alexandria.

a = 5.539 Å, b = 5.539 Å, c = 5.539 Å
α = 60.00°, β = 60.00°, γ = 60.00°
Element x y z (fractional)
1 Na 0.000 0.000 0.000
2 Eu 0.750 0.750 0.750
3 Ho 0.250 0.250 0.250
4 In 0.500 0.500 0.500

Values from the calculation:
DOS at the Fermi energy   2.69 states/eV per atom
Total energy   -4.8469 eV/atom

=====

[13]
First-principles (PBE) data for TmPu2Zn after structural relaxation, as listed in Alexandria.

a = 3.316 Å, b = 3.316 Å, c = 9.256 Å
α = 90.00°, β = 90.00°, γ = 90.00°
Element x y z (fractional)
1 Tm 0.000 0.000 0.000
2 Pu 0.500 0.500 0.280
3 Pu 0.500 0.500 0.720
4 Zn 0.000 0.000 0.500

Values from the calculation:
DOS at the Fermi energy   3.59 states/eV per atom
Excess energy over the best structure of this formula in the dataset   0 meV per atom

=====

[14]
First-principles (PBE) data for Mo7Rh after structural relaxation, as listed in Alexandria.

a = 5.626 Å, b = 5.626 Å, c = 5.626 Å
α = 60.00°, β = 60.00°, γ = 60.00°
Element x y z (fractional)
1 Mo 0.000 0.000 0.000
2 Mo 0.000 0.000 0.500
3 Mo 0.000 0.500 0.000
4 Mo 0.000 0.500 0.500
5 Mo 0.500 0.000 0.000
6 Mo 0.500 0.000 0.500
7 Mo 0.500 0.500 0.000
8 Rh 0.500 0.500 0.500

Values from the calculation:
DOS at the Fermi energy   1.44 states/eV per atom
Total energy   -10.1647 eV/atom

=====

[15]
First-principles (PBE) data for RbAc2Pt after structural relaxation, as listed in Alexandria.

a = 12.462 Å, b = 12.462 Å, c = 12.462 Å
α = 20.80°, β = 20.80°, γ = 20.80°
Element x y z (fractional)
1 Rb 0.000 0.000 0.000
2 Ac 0.124 0.124 0.124
3 Ac 0.876 0.876 0.876
4 Pt 0.500 0.500 0.500

Values from the calculation:
DOS at the Fermi energy   0.78 states/eV per atom
Total energy   -4.3201 eV/atom

=====

[16]
First-principles (PBE) data for LiInP2 after structural relaxation, as listed in Alexandria.

a = 4.493 Å, b = 4.267 Å, c = 4.495 Å
α = 90.00°, β = 109.83°, γ = 90.00°
Element x y z (fractional)
1 Li 0.000 0.000 0.000
2 In 0.644 0.500 0.352
3 P 0.239 0.500 0.757
4 P 0.381 0.000 0.619

Values from the calculation:
DOS at the Fermi energy   0.21 states/eV per atom
Total energy   -3.9121 eV/atom

=====

[17]
First-principles (PBE) data for TcTeRh after structural relaxation, as listed in Alexandria.

a = 4.790 Å, b = 4.790 Å, c = 4.790 Å
α = 141.73°, β = 130.58°, γ = 64.18°
Element x y z (fractional)
1 Tc 0.000 0.000 0.000
2 Te 0.328 0.328 0.000
3 Rh 0.651 0.651 0.000

Values from the calculation:
ΔE_f (raw)   1.101 eV/f.u.
DOS at the Fermi energy   1.47 states/eV per atom
Excess energy over the best structure of this formula in the dataset   213 meV per atom

=====

[18]
First-principles (PBE) data for Nb4PbF2 after structural relaxation, as listed in Alexandria.

a = 6.893 Å, b = 6.893 Å, c = 6.893 Å
α = 135.86°, β = 135.86°, γ = 64.20°
Element x y z (fractional)
1 Nb 0.000 0.500 0.500
2 Nb 0.238 0.238 0.000
3 Nb 0.500 0.000 0.500
4 Nb 0.762 0.762 0.000
5 Pb 0.000 0.000 0.000
6 F 0.408 0.408 0.000
7 F 0.592 0.592 0.000

Values from the calculation:
ΔE_f (raw)   6.076 eV/f.u.
DOS at the Fermi energy   1.20 states/eV per atom

=====

[19]
First-principles (PBE) data for Zr2BeAgC after structural relaxation, as listed in Alexandria.

a = 4.719 Å, b = 4.719 Å, c = 3.483 Å
α = 90.00°, β = 90.00°, γ = 90.00°
Element x y z (fractional)
1 Zr 0.000 0.500 0.000
2 Zr 0.500 0.000 0.000
3 Be 0.000 0.000 0.500
4 Ag 0.500 0.500 0.500
5 C 0.000 0.000 0.000

Values from the calculation:
DOS at the Fermi energy   0.92 states/eV per atom
Total energy   -6.8007 eV/atom

=====

[20]
First-principles (PBE) data for Mg3GeAs after structural relaxation, as listed in Alexandria.

a = 4.968 Å, b = 4.968 Å, c = 4.968 Å
α = 90.00°, β = 90.00°, γ = 90.00°
Element x y z (fractional)
1 Mg 0.000 0.000 0.500
2 Mg 0.000 0.500 0.000
3 Mg 0.500 0.000 0.000
4 Ge 0.000 0.000 0.000
5 As 0.500 0.500 0.500

Values from the calculation:
DOS at the Fermi energy   0.96 states/eV per atom
Excess energy over the best structure of this formula in the dataset   26 meV per atom

=====

[21]
First-principles (PBE) data for U2TcGe after structural relaxation, as listed in Alexandria.

a = 5.561 Å, b = 4.172 Å, c = 6.626 Å
α = 90.00°, β = 108.19°, γ = 90.00°
Element x y z (fractional)
1 U 0.242 0.250 0.446
2 U 0.254 0.750 0.704
3 U 0.746 0.250 0.296
4 U 0.758 0.750 0.554
5 Tc 0.143 0.250 0.917
6 Tc 0.857 0.750 0.083
7 Ge 0.336 0.750 0.157
8 Ge 0.664 0.250 0.843

Values from the calculation:
DOS at the Fermi energy   1.41 states/eV per atom
Excess energy over the best structure of this formula in the dataset   37 meV per atom

=====

[22]
First-principles (PBE) data for BaZrReO6 after structural relaxation, as listed in Alexandria.

a = 7.384 Å, b = 7.384 Å, c = 7.384 Å
α = 120.16°, β = 120.02°, γ = 89.84°
Element x y z (fractional)
1 Ba 0.386 0.136 0.250
2 Ba 0.614 0.864 0.750
3 Zr 0.000 0.500 0.500
4 Zr 0.500 0.500 0.000
5 Re 0.000 0.000 0.500
6 Re 0.000 0.500 0.000
7 O 0.029 0.779 0.250
8 O 0.058 0.397 0.212
9 O 0.058 0.847 0.661
10 O 0.314 0.153 0.712
11 O 0.314 0.603 0.161
12 O 0.345 0.595 0.750
13 O 0.655 0.405 0.250
14 O 0.686 0.397 0.839
15 O 0.686 0.847 0.288
16 O 0.942 0.153 0.339
17 O 0.942 0.603 0.788
18 O 0.971 0.221 0.750

Values from the calculation:
ΔE_f (raw)   -21.417 eV/f.u.
DOS at the Fermi energy   0.27 states/eV per atom

=====

[23]
First-principles (PBE) data for YNiBi3 after structural relaxation, as listed in Alexandria.

a = 5.210 Å, b = 5.210 Å, c = 5.210 Å
α = 90.00°, β = 90.00°, γ = 90.00°
Element x y z (fractional)
1 Y 0.000 0.000 0.000
2 Ni 0.500 0.500 0.500
3 Bi 0.000 0.500 0.500
4 Bi 0.500 0.000 0.500
5 Bi 0.500 0.500 0.000

Values from the calculation:
DOS at the Fermi energy   0.76 states/eV per atom
Excess energy over the best structure of this formula in the dataset   0 meV per atom